Here is a relaxed structure of RbDyCdTe3 from Alexandria via LeMat-Bulk. Energies are from PBE.

Values from the calculation:
raw formation energy	-1059	meV/atom

Unit cell a=4.5320 b=9.8237 c=10.9741 alpha=109.28 beta=90.00 gamma=90.00
Positions (direct):
Te: 0.7500 0.2299 0.5467
Te: 0.2500 0.5340 0.8430
Te: 0.2500 0.1109 0.8721
Te: 0.2500 0.7701 0.4533
Rb: 0.7500 0.7847 0.7562
Cd: 0.7500 0.9173 0.3905
Dy: 0.7500 0.3289 0.8646
Dy: 0.2500 0.6711 0.1354
Rb: 0.2500 0.2153 0.2438
Te: 0.7500 0.8891 0.1279
Cd: 0.2500 0.0827 0.6095
Te: 0.7500 0.4660 0.1570

***

Here is a relaxed structure of KInCuAs2 from Alexandria via LeMat-Bulk. Energies are from PBE.

Values from the calculation:
calculated formation energy	646	kJ/mol of formula units

Unit cell a=5.6654 b=5.1682 c=5.6654 alpha=90.00 beta=90.00 gamma=90.00
Each line ends with the local moment (μB).
Positions (direct):
K: 0.0000 0.0000 0.0000  0.04
As: 0.5000 0.0000 0.0000  0.17
In: 0.5000 0.5000 0.5000  0.00
As: 0.0000 0.0000 0.5000  0.21
Cu: 0.0000 0.5000 0.0000  0.01

***

Here is a relaxed structure of PuMgPdAu from Alexandria via LeMat-Bulk. Energies are from PBE.

Values from the calculation:
calculated formation energy	-173	kJ/mol of formula units

Unit cell a=4.9084 b=4.9084 c=4.9084 alpha=60.00 beta=60.00 gamma=60.00
Each line ends with the local moment (μB).
Positions (direct):
Mg: 0.5000 0.5000 0.5000  0.01
Au: 0.2500 0.2500 0.2500  0.02
Pu: 0.0000 0.0000 0.0000  5.21
Pd: 0.7500 0.7500 0.7500  -0.02

***

Here is a relaxed structure of ZnSbTe2N from Alexandria via LeMat-Bulk. Energies are from PBE.

Values from the calculation:
raw formation energy	719	meV/atom
polymorph energy (0 for the lowest one)	3	meV/atom

Unit cell a=4.7310 b=4.7310 c=4.9019 alpha=90.00 beta=90.00 gamma=90.00
Positions (direct):
N: 0.0000 0.0000 0.0000
Zn: 0.5000 0.5000 0.5000
Te: 0.5000 0.0000 0.0000
Te: 0.0000 0.5000 0.0000
Sb: 0.0000 0.0000 0.5000

***

Here is a relaxed structure of SrBeSb2Te from Alexandria via LeMat-Bulk. Energies are from PBE.

Values from the calculation:
raw formation energy	-162	meV/atom
polymorph energy (0 for the lowest one)	0	meV/atom

Unit cell a=4.9229 b=4.9229 c=5.7948 alpha=90.00 beta=90.00 gamma=90.00
Positions (direct):
Te: 0.0000 0.0000 0.5000
Sr: 0.5000 0.5000 0.5000
Be: 0.0000 0.0000 0.0000
Sb: 0.0000 0.5000 0.0000
Sb: 0.5000 0.0000 0.0000

***

Here is a relaxed structure of CaAl8Pd4 from Alexandria via LeMat-Bulk. Energies are from PBE.

Values from the calculation:
calculated formation energy	-851	kJ/mol of formula units

Unit cell a=5.4501 b=6.8360 c=6.8360 alpha=80.86 beta=66.51 gamma=66.51
Positions (direct):
Ca: 0.0000 0.0000 0.0000
Al: 0.2776 0.2224 0.2224
Al: 0.0000 0.3487 0.6513
Al: 0.7224 0.7776 0.7776
Al: 0.5000 0.7776 0.2224
Al: 0.6513 0.3487 0.3487
Pd: 0.5000 0.0000 0.5000
Pd: 0.0000 0.0000 0.5000
Al: 0.5000 0.2224 0.7776
Pd: 0.5000 0.5000 0.0000
Al: 0.0000 0.6513 0.3487
Pd: 0.0000 0.5000 0.0000
Al: 0.3487 0.6513 0.6513

***

Here is a relaxed structure of NdMnCuPt3 from Alexandria via LeMat-Bulk. Energies are from PBE.

Values from the calculation:
calculated formation energy	-210	kJ/mol of formula units

Unit cell a=5.7437 b=5.7188 c=7.2175 alpha=113.34 beta=90.00 gamma=90.00
Each line ends with the local moment (μB).
Positions (direct):
Cu: 0.7500 0.1171 0.2341  0.02
Mn: 0.2500 0.3714 0.7429  3.68
Pt: 0.0000 0.7480 0.0000  0.14
Pt: 0.0000 0.2520 0.0000  0.14
Mn: 0.7500 0.6286 0.2571  3.68
Pt: 0.5000 0.7480 0.0000  0.14
Nd: 0.2500 0.6786 0.3572  -0.03
Pt: 0.5000 0.2520 0.0000  0.14
Pt: 0.7500 0.8253 0.6507  0.11
Pt: 0.2500 0.1747 0.3493  0.11
Nd: 0.7500 0.3214 0.6428  -0.03
Cu: 0.2500 0.8829 0.7659  0.02

***

Here is a relaxed structure of LiPtCl from Alexandria via LeMat-Bulk. Energies are from PBE.

Values from the calculation:
raw formation energy	-667	meV/atom
polymorph energy (0 for the lowest one)	159	meV/atom

Unit cell a=11.6686 b=5.3565 c=5.3565 alpha=145.61 beta=138.49 gamma=41.51
Positions (direct):
Li: 0.1130 0.5410 0.4590
Cl: 0.2083 0.1274 0.8726
Cl: 0.8948 0.1314 0.8686
Pt: 0.6755 0.9357 0.0643
Li: 0.4643 0.4725 0.5275
Pt: 0.4540 0.7513 0.2487

***

Here is a relaxed structure of TlFeP2 from Alexandria via LeMat-Bulk. Energies are from PBE.

Values from the calculation:
calculated formation energy	118	kJ/mol of formula units
polymorph energy (0 for the lowest one)	341	meV/atom

Unit cell a=5.2870 b=5.2870 c=5.2870 alpha=137.18 beta=105.00 gamma=90.43
Each line ends with the local moment (μB).
Positions (direct):
P: 0.1017 0.1017 0.0000  -0.05
P: 0.3983 0.3983 0.0000  -0.05
Fe: 0.2500 0.7500 0.5000  1.88
Tl: 0.7500 0.2500 0.5000  0.00

***

Here is a relaxed structure of YPIrO2 from Alexandria via LeMat-Bulk. Energies are from PBE.

Values from the calculation:
raw formation energy	-864	meV/atom
polymorph energy (0 for the lowest one)	0	meV/atom

Unit cell a=3.9397 b=3.9397 c=4.9862 alpha=90.00 beta=90.00 gamma=90.00
Positions (direct):
Ir: 0.0000 0.0000 0.0000
P: 0.0000 0.0000 0.5000
O: 0.5000 0.0000 0.0000
O: 0.0000 0.5000 0.0000
Y: 0.5000 0.5000 0.5000

***

Here is a relaxed structure of HoTmPb2 from Alexandria via LeMat-Bulk. Energies are from PBE.

Values from the calculation:
calculated formation energy	-160	kJ/mol of formula units

Unit cell a=6.2979 b=6.2985 c=12.0160 alpha=90.00 beta=105.52 gamma=90.00
Positions (direct):
Ho: 0.4397 0.1256 0.6274
Tm: 0.5598 0.6255 0.8737
Tm: 0.4402 0.3745 0.1263
Tm: 0.9402 0.6255 0.6263
Pb: 0.5712 0.3744 0.3960
Ho: 0.5603 0.8744 0.3726
Ho: 0.0603 0.1256 0.8726
Tm: 0.0598 0.3745 0.3737
Pb: 0.5730 0.1260 0.8975
Pb: 0.0730 0.8740 0.3975
Pb: 0.0712 0.6256 0.8960
Pb: 0.9288 0.3744 0.1040
Ho: 0.9397 0.8744 0.1274
Pb: 0.9270 0.1260 0.6025
Pb: 0.4270 0.8740 0.1025
Pb: 0.4288 0.6256 0.6040

***

Here is a relaxed structure of MnSiB from Alexandria via LeMat-Bulk. Energies are from PBE.

Values from the calculation:
raw formation energy	-145	meV/atom
polymorph energy (0 for the lowest one)	207	meV/atom

Unit cell a=3.8232 b=3.9040 c=4.5985 alpha=85.14 beta=88.84 gamma=70.17
Positions (direct):
Mn: 0.7138 0.1956 0.6343
B: 0.8226 0.6819 0.5311
Si: 0.6343 0.1833 0.1371
Mn: 0.2862 0.8044 0.3657
B: 0.1774 0.3181 0.4689
Si: 0.3657 0.8167 0.8629

***

| no. | uncorrected energy (eV per atom) |
| --- | --- |
| 1 | -3.710 |
| 2 | -2.107 |
| 3 | -6.548 |
| 4 | -3.282 |
| 5 | -3.521 |
| 6 | -4.733 |
| 7 | -6.389 |
| 8 | -3.935 |
| 9 | -5.106 |
| 10 | -6.994 |
| 11 | -4.531 |
| 12 | -7.235 |